Record 1
ZrFeSb2 after structural relaxation, computed with GGA-PBE.

Cell lengths 5.145, 5.145, 5.145 Å; angles 127.31, 127.31, 77.75 degrees
Atoms (fractional coordinates):
1 Zr 0.000 0.000 0.000
2 Fe 0.500 0.500 0.000
3 Sb 0.250 0.750 0.500
4 Sb 0.750 0.250 0.500

E above lowest polymorph: 244 meV/atom
formation energy without anion corrections: 0.064 eV per atom
VASP energy: -25.0 eV for the cell shown

***

Record 2
ZrFe2Sb after structural relaxation, computed with GGA-PBE.

Cell lengths 4.325, 4.325, 3.308 Å; angles 90.00, 90.00, 90.00 degrees
Atoms (fractional coordinates):
1 Zr 0.000 0.000 0.000
2 Fe 0.000 0.500 0.500
3 Fe 0.500 0.000 0.500
4 Sb 0.500 0.500 0.000

formation energy without anion corrections: -0.101 eV per atom
VASP energy: -30.0 eV for the cell shown

***

Record 3
ZrFe2Sb after structural relaxation, computed with GGA-PBE.

Cell lengths 5.297, 5.297, 3.015 Å; angles 103.76, 103.76, 114.72 degrees
Atoms (fractional coordinates):
1 Zr 0.000 0.000 0.000
2 Fe 0.000 0.500 0.500
3 Fe 0.500 0.000 0.500
4 Sb 0.500 0.500 0.000

formation energy without anion corrections: 0.186 eV per atom
VASP energy: -28.9 eV for the cell shown

***

Record 4
ZrFe2Sb after structural relaxation, computed with GGA-PBE.

Cell lengths 8.346, 8.346, 8.346 Å; angles 22.09, 22.09, 22.09 degrees
Atoms (fractional coordinates):
1 Zr 0.000 0.000 0.000
2 Fe 0.250 0.250 0.250
3 Fe 0.518 0.518 0.518
4 Sb 0.770 0.770 0.770

formation energy without anion corrections: 0.246 eV per atom
VASP energy: -28.6 eV for the cell shown

***

Record 5
ZrFeSb2 after structural relaxation, computed with GGA-PBE.

Cell lengths 8.723, 8.723, 8.723 Å; angles 22.88, 22.88, 22.88 degrees
Atoms (fractional coordinates):
1 Zr 0.000 0.000 0.000
2 Fe 0.738 0.738 0.738
3 Sb 0.243 0.243 0.243
4 Sb 0.469 0.469 0.469

E above lowest polymorph: 237 meV/atom
formation energy without anion corrections: 0.058 eV per atom
VASP energy: -25.0 eV for the cell shown

***

Record 6
ZrFe2Sb6 after structural relaxation, computed with GGA-PBE.

Cell lengths 7.688, 7.688, 3.890 Å; angles 90.00, 90.00, 120.00 degrees
Atoms (fractional coordinates):
1 Zr 0.000 0.000 0.000
2 Fe 0.333 0.667 0.500
3 Fe 0.667 0.333 0.500
4 Sb 0.000 0.394 0.000
5 Sb 0.000 0.710 0.500
6 Sb 0.290 0.290 0.500
7 Sb 0.394 0.000 0.000
8 Sb 0.606 0.606 0.000
9 Sb 0.710 0.000 0.500

formation energy without anion corrections: 0.080 eV per atom
VASP energy: -49.5 eV for the cell shown

***

Record 7
ZrFeSb2 after structural relaxation, computed with GGA-PBE.

Cell lengths 3.411, 4.111, 6.028 Å; angles 90.00, 99.91, 90.00 degrees
Atoms (fractional coordinates):
1 Zr 0.000 0.000 0.000
2 Fe 0.500 0.000 0.500
3 Sb 0.384 0.500 0.741
4 Sb 0.616 0.500 0.259

E above lowest polymorph: 150 meV/atom
formation energy without anion corrections: -0.029 eV per atom
VASP energy: -25.4 eV for the cell shown

***

Record 8
ZrFe2Sb after structural relaxation, computed with GGA-PBE.

Cell lengths 3.263, 4.114, 5.405 Å; angles 90.00, 90.00, 90.00 degrees
Atoms (fractional coordinates):
1 Zr 0.000 0.000 0.000
2 Fe 0.500 0.500 0.210
3 Fe 0.500 0.500 0.790
4 Sb 0.500 0.000 0.500

formation energy without anion corrections: 0.026 eV per atom
VASP energy: -29.5 eV for the cell shown

***

Record 9
ZrFeSb2 after structural relaxation, computed with GGA-PBE.

Cell lengths 5.596, 5.596, 4.355 Å; angles 95.13, 95.13, 39.47 degrees
Atoms (fractional coordinates):
1 Zr 0.000 0.000 0.000
2 Fe 0.164 0.164 0.531
3 Sb 0.435 0.435 0.484
4 Sb 0.717 0.717 0.035

E above lowest polymorph: 0 meV/atom
formation energy without anion corrections: -0.179 eV per atom
VASP energy: -26.0 eV for the cell shown

***

Record 10
ZrFe2Sb after structural relaxation, computed with GGA-PBE.

Cell lengths 8.006, 8.006, 8.006 Å; angles 23.16, 23.16, 23.16 degrees
Atoms (fractional coordinates):
1 Zr 0.000 0.000 0.000
2 Fe 0.249 0.249 0.249
3 Fe 0.751 0.751 0.751
4 Sb 0.500 0.500 0.500

formation energy without anion corrections: 0.315 eV per atom
VASP energy: -28.3 eV for the cell shown

***

Record 11
ZrFeSb3 after structural relaxation, computed with GGA-PBE.

Cell lengths 4.982, 4.982, 4.982 Å; angles 90.00, 90.00, 90.00 degrees
Atoms (fractional coordinates):
1 Zr 0.000 0.000 0.000
2 Fe 0.500 0.500 0.500
3 Sb 0.000 0.500 0.500
4 Sb 0.500 0.000 0.500
5 Sb 0.500 0.500 0.000

E above lowest polymorph: 0 meV/atom
formation energy without anion corrections: 0.477 eV per atom
VASP energy: -27.0 eV for the cell shown

***

Record 12
Zr2FeSb6 after structural relaxation, computed with GGA-PBE.

Cell lengths 7.815, 7.815, 3.806 Å; angles 90.00, 90.00, 120.00 degrees
Atoms (fractional coordinates):
1 Zr 0.333 0.667 0.000
2 Zr 0.667 0.333 0.000
3 Fe 0.000 0.000 0.500
4 Sb 0.000 0.383 0.500
5 Sb 0.000 0.757 0.000
6 Sb 0.243 0.243 0.000
7 Sb 0.383 0.000 0.500
8 Sb 0.617 0.617 0.500
9 Sb 0.757 0.000 0.000

formation energy without anion corrections: -0.249 eV per atom
VASP energy: -52.5 eV for the cell shown

***

Record 13
ZrFe2Sb after structural relaxation, computed with GGA-PBE.

Cell lengths 3.411, 3.411, 5.821 Å; angles 90.00, 90.00, 90.00 degrees
Atoms (fractional coordinates):
1 Zr 0.000 0.000 0.000
2 Fe 0.500 0.500 0.246
3 Fe 0.500 0.500 0.754
4 Sb 0.000 0.000 0.500

formation energy without anion corrections: -0.030 eV per atom
VASP energy: -29.7 eV for the cell shown

***

Record 14
Zr3FeSb2 after structural relaxation, computed with GGA-PBE.

Cell lengths 11.540, 3.994, 11.044 Å; angles 90.00, 90.00, 90.00 degrees
Atoms (fractional coordinates):
1 Zr 0.056 0.250 0.118
2 Zr 0.118 0.750 0.540
3 Zr 0.248 0.250 0.777
4 Zr 0.252 0.750 0.277
5 Zr 0.382 0.250 0.040
6 Zr 0.444 0.750 0.618
7 Zr 0.556 0.250 0.382
8 Zr 0.618 0.750 0.960
9 Zr 0.748 0.250 0.723
10 Zr 0.752 0.750 0.223
11 Zr 0.882 0.250 0.460
12 Zr 0.944 0.750 0.882
13 Fe 0.121 0.250 0.359
14 Fe 0.379 0.750 0.859
15 Fe 0.621 0.250 0.141
16 Fe 0.879 0.750 0.641
17 Sb 0.006 0.250 0.698
18 Sb 0.190 0.750 0.986
19 Sb 0.310 0.250 0.486
20 Sb 0.494 0.750 0.198
21 Sb 0.506 0.250 0.802
22 Sb 0.690 0.750 0.514
23 Sb 0.810 0.250 0.014
24 Sb 0.994 0.750 0.302

formation energy without anion corrections: -0.521 eV per atom
VASP energy: -181.9 eV for the cell shown

***

Record 15
ZrFeSb2 after structural relaxation, computed with GGA-PBE.

Cell lengths 3.773, 4.343, 5.609 Å; angles 90.00, 109.50, 90.00 degrees
Atoms (fractional coordinates):
1 Zr 0.000 0.000 0.000
2 Fe 0.160 0.500 0.321
3 Sb 0.433 0.500 0.867
4 Sb 0.716 0.000 0.432

E above lowest polymorph: 2 meV/atom
formation energy without anion corrections: -0.178 eV per atom
VASP energy: -26.0 eV for the cell shown

***

Record 16
ZrFeSb2 after structural relaxation, computed with GGA-PBE.

Cell lengths 6.126, 6.126, 6.126 Å; angles 104.99, 104.99, 118.87 degrees
Atoms (fractional coordinates):
1 Zr 0.000 0.000 0.000
2 Zr 0.750 0.250 0.500
3 Fe 0.250 0.750 0.500
4 Fe 0.500 0.500 0.000
5 Sb 0.172 0.625 0.047
6 Sb 0.375 0.422 0.547
7 Sb 0.578 0.125 0.953
8 Sb 0.875 0.828 0.453

E above lowest polymorph: 244 meV/atom
formation energy without anion corrections: 0.064 eV per atom
VASP energy: -50.0 eV for the cell shown

***

Record 17
ZrFeSb2 after structural relaxation, computed with GGA-PBE.

Cell lengths 4.817, 4.817, 4.817 Å; angles 60.00, 60.00, 60.00 degrees
Atoms (fractional coordinates):
1 Zr 0.000 0.000 0.000
2 Fe 0.500 0.500 0.500
3 Sb 0.250 0.250 0.250
4 Sb 0.750 0.750 0.750

E above lowest polymorph: 336 meV/atom
formation energy without anion corrections: 0.156 eV per atom
VASP energy: -24.6 eV for the cell shown

***

Record 18
ZrFe4Sb after structural relaxation, computed with GGA-PBE.

Cell lengths 4.970, 4.970, 4.970 Å; angles 60.00, 60.00, 60.00 degrees
Atoms (fractional coordinates):
1 Zr 0.000 0.000 0.000
2 Fe 0.123 0.626 0.626
3 Fe 0.626 0.123 0.626
4 Fe 0.626 0.626 0.123
5 Fe 0.626 0.626 0.626
6 Sb 0.250 0.250 0.250

formation energy without anion corrections: -0.151 eV per atom
VASP energy: -47.4 eV for the cell shown

***

Record 19
ZrFeSb2 after structural relaxation, computed with GGA-PBE.

Cell lengths 5.036, 5.036, 5.036 Å; angles 130.51, 116.46, 84.54 degrees
Atoms (fractional coordinates):
1 Zr 0.000 0.000 0.000
2 Fe 0.500 0.500 0.000
3 Sb 0.283 0.783 0.500
4 Sb 0.717 0.217 0.500

E above lowest polymorph: 184 meV/atom
formation energy without anion corrections: 0.005 eV per atom
VASP energy: -25.2 eV for the cell shown

***

Record 20
ZrFe2Sb after structural relaxation, computed with GGA-PBE.

Cell lengths 3.157, 4.260, 5.274 Å; angles 90.00, 101.02, 90.00 degrees
Atoms (fractional coordinates):
1 Zr 0.000 0.000 0.000
2 Fe 0.445 0.000 0.451
3 Fe 0.703 0.500 0.282
4 Sb 0.396 0.500 0.730

formation energy without anion corrections: 0.009 eV per atom
VASP energy: -29.6 eV for the cell shown

***

Record 21
ZrFe2Sb after structural relaxation, computed with GGA-PBE.

Cell lengths 3.202, 3.202, 6.644 Å; angles 90.00, 90.00, 90.00 degrees
Atoms (fractional coordinates):
1 Zr 0.000 0.000 0.000
2 Fe 0.000 0.000 0.431
3 Fe 0.500 0.500 0.251
4 Sb 0.500 0.500 0.664

formation energy without anion corrections: 0.011 eV per atom
VASP energy: -29.6 eV for the cell shown

***

Record 22
ZrFe2Sb8 after structural relaxation, computed with GGA-PBE.

Cell lengths 6.464, 6.464, 6.913 Å; angles 91.27, 91.27, 89.58 degrees
Atoms (fractional coordinates):
1 Zr 0.000 0.000 0.000
2 Fe 0.091 0.091 0.668
3 Fe 0.909 0.909 0.332
4 Sb 0.208 0.208 0.343
5 Sb 0.223 0.671 0.294
6 Sb 0.327 0.327 0.854
7 Sb 0.329 0.777 0.706
8 Sb 0.671 0.223 0.294
9 Sb 0.673 0.673 0.146
10 Sb 0.777 0.329 0.706
11 Sb 0.792 0.792 0.657

formation energy without anion corrections: 0.120 eV per atom
VASP energy: -57.1 eV for the cell shown

***

Record 23
ZrFeSb2 after structural relaxation, computed with GGA-PBE.

Cell lengths 6.453, 6.453, 6.453 Å; angles 147.27, 144.28, 49.22 degrees
Atoms (fractional coordinates):
1 Zr 0.000 0.000 0.000
2 Fe 0.760 0.260 0.500
3 Sb 0.319 0.819 0.500
4 Sb 0.591 0.591 0.000

E above lowest polymorph: 52 meV/atom
formation energy without anion corrections: -0.128 eV per atom
VASP energy: -25.8 eV for the cell shown

***

Record 24
ZrFeSb4 after structural relaxation, computed with GGA-PBE.

Cell lengths 6.044, 6.044, 6.044 Å; angles 60.00, 60.00, 60.00 degrees
Atoms (fractional coordinates):
1 Zr 0.000 0.000 0.000
2 Fe 0.750 0.750 0.750
3 Sb 0.375 0.375 0.375
4 Sb 0.375 0.375 0.875
5 Sb 0.375 0.875 0.375
6 Sb 0.875 0.375 0.375

formation energy without anion corrections: 0.711 eV per atom
VASP energy: -29.2 eV for the cell shown

***

Record 25
ZrFe2Sb after structural relaxation, computed with GGA-PBE.

Cell lengths 4.571, 4.571, 4.571 Å; angles 60.00, 60.00, 60.00 degrees
Atoms (fractional coordinates):
1 Zr 0.000 0.000 0.000
2 Fe 0.250 0.250 0.250
3 Fe 0.500 0.500 0.500
4 Sb 0.750 0.750 0.750

formation energy without anion corrections: 0.068 eV per atom
VASP energy: -29.3 eV for the cell shown

***

Record 26
ZrFe2Sb after structural relaxation, computed with GGA-PBE.

Cell lengths 9.574, 9.574, 9.574 Å; angles 155.48, 155.48, 34.96 degrees
Atoms (fractional coordinates):
1 Zr 0.000 0.000 0.000
2 Zr 0.750 0.250 0.500
3 Fe 0.189 0.625 0.064
4 Fe 0.375 0.439 0.564
5 Fe 0.561 0.125 0.936
6 Fe 0.875 0.811 0.436
7 Sb 0.250 0.750 0.500
8 Sb 0.500 0.500 0.000

formation energy without anion corrections: 0.289 eV per atom
VASP energy: -56.9 eV for the cell shown

***

Record 27
ZrFe5Sb3 after structural relaxation, computed with GGA-PBE.

Cell lengths 7.757, 7.757, 5.486 Å; angles 90.00, 90.00, 120.00 degrees
Atoms (fractional coordinates):
1 Zr 0.000 0.000 0.000
2 Zr 0.000 0.000 0.500
3 Fe 0.000 0.342 0.250
4 Fe 0.000 0.658 0.750
5 Fe 0.333 0.667 0.000
6 Fe 0.333 0.667 0.500
7 Fe 0.342 0.000 0.250
8 Fe 0.342 0.342 0.750
9 Fe 0.658 0.000 0.750
10 Fe 0.658 0.658 0.250
11 Fe 0.667 0.333 0.000
12 Fe 0.667 0.333 0.500
13 Sb 0.000 0.339 0.750
14 Sb 0.000 0.661 0.250
15 Sb 0.339 0.000 0.750
16 Sb 0.339 0.339 0.250
17 Sb 0.661 0.000 0.250
18 Sb 0.661 0.661 0.750

formation energy without anion corrections: 0.115 eV per atom
VASP energy: -124.4 eV for the cell shown